Material: NbBi2Mo
Method: DFT, PBE
State: relaxed

Summary:
The space-group type is No. 122. For the energy of formation, the calculation gives 5.2 eV per formula unit. For the density of states at the Fermi level, the calculation gives 2.13 states/eV/f.u.

a = 7.9324 Å, b = 7.9324 Å, c = 7.9324 Å
α = 131.23°, β = 131.23°, γ = 71.45°
Fractional positions:
Nb 0.0000 0.0000 0.0000
Nb 0.7500 0.2500 0.5000
Bi 0.1306 0.6250 0.0056
Bi 0.3750 0.3806 0.5056
Bi 0.6194 0.1250 0.9944
Bi 0.8750 0.8694 0.4944
Mo 0.2500 0.7500 0.5000
Mo 0.5000 0.5000 0.0000